# 1
{
  "formula": "HfZnCd",
  "functional": "PBE-GGA",
  "state": "relaxed",
  "cell": [[0.808, -4.443, 0.853], [0.646, -1.430, 4.319], [-3.202, -2.561, 2.075]],
  "species": ["Zn", "Hf", "Cd"],
  "fractional_positions": [[0.750, 0.750, 0.750], [0.000, 0.000, 0.000], [0.250, 0.250, 0.250]],
  "m_tot_mub_per_cell": 0.0,
  "formation_energy_mev_per_atom": 518,
  "spacegroup": "F-43m"
}


# 2
{
  "formula": "HfZnCd",
  "functional": "PBE-GGA",
  "state": "relaxed",
  "cell": [[-1.654, 1.654, 5.017], [1.654, -1.654, 5.017], [1.654, 1.654, -5.017]],
  "species": ["Zn", "Hf", "Cd"],
  "fractional_positions": [[0.670, 0.670, 0.000], [0.009, 0.009, 0.000], [0.321, 0.321, 0.000]],
  "m_tot_mub_per_cell": 0.0,
  "formation_energy_mev_per_atom": 59,
  "spacegroup": "I4mm"
}